VASP calculation (GGA-PBE) on LiPrSnRh after structural relaxation.

Results
magnetic moment	0.0000	μB per atom
ΔH_f (0 K)	-0.62	eV per atom
raw total energy	-5.1289	eV/atom

a = 6.863 Å, b = 6.863 Å, c = 6.863 Å
α = 90.00°, β = 90.00°, γ = 90.00°
Element x y z (fractional)
Li  0.000  0.000  0.000
Li  0.000  0.500  0.500
Li  0.500  0.000  0.500
Li  0.500  0.500  0.000
Pr  0.250  0.250  0.750
Pr  0.250  0.750  0.250
Pr  0.750  0.250  0.250
Pr  0.750  0.750  0.750
Sn  0.250  0.250  0.250
Sn  0.250  0.750  0.750
Sn  0.750  0.250  0.750
Sn  0.750  0.750  0.250
Rh  0.000  0.000  0.500
Rh  0.000  0.500  0.000
Rh  0.500  0.000  0.000
Rh  0.500  0.500  0.500